No. 1
A plane-wave DFT calculation with PBE was carried out for a relaxed BaMnTc2 crystal.

a = 5.8269 Å, b = 5.8269 Å, c = 5.8269 Å
α = 150.95°, β = 127.25°, γ = 61.35°
Closest atoms and distances in Å follow each position.
Sites, in units of the cell vectors:
Ba  0.0000  0.0000  0.0000  2 Ba 2.92, 4 Mn 2.97, 4 Tc 3.24
Mn  0.5000  0.5000  0.0000  4 Tc 2.58
Tc  0.2881  0.7881  0.5000  2 Mn 2.58
Tc  0.7119  0.2119  0.5000  2 Mn 2.58

The formation enthalpy at 0 K comes out at 1.02 eV/atom. As for the space group: Immm.

No. 2
A plane-wave DFT calculation with PBE was carried out for a relaxed BaMnTc2 crystal.

a = 4.7129 Å, b = 4.7129 Å, c = 4.7129 Å
α = 60.00°, β = 60.00°, γ = 60.00°
Closest atoms and distances in Å follow each position.
Sites, in units of the cell vectors:
Ba  0.0000  0.0000  0.0000  8 Tc 2.89
Mn  0.5000  0.5000  0.5000  8 Tc 2.89
Tc  0.2500  0.2500  0.2500  4 Ba 2.89, 4 Mn 2.89
Tc  0.7500  0.7500  0.7500  4 Ba 2.89, 4 Mn 2.89

The formation enthalpy at 0 K comes out at 1.21 eV/atom. As for the space group: Fm-3m.

No. 3
A plane-wave DFT calculation with PBE was carried out for a relaxed BaMnTc2 crystal.

a = 5.5756 Å, b = 5.5756 Å, c = 3.0068 Å
α = 102.32°, β = 102.32°, γ = 118.02°
Closest atoms and distances in Å follow each position.
Sites, in units of the cell vectors:
Ba  0.0000  0.0000  0.0000  4 Mn 2.87-3.18, 4 Tc 2.87, 2 Ba 3.01
Mn  0.5000  0.5000  0.0000  4 Ba 2.87-3.18, 4 Tc 2.87, 2 Mn 3.01
Tc  0.0000  0.5000  0.5000  6 Tc 2.87-3.18, 2 Ba 2.87, 2 Mn 2.87
Tc  0.5000  0.0000  0.5000  6 Tc 2.87-3.18, 2 Ba 2.87, 2 Mn 2.87

The formation enthalpy at 0 K comes out at 1.22 eV/atom. As for the space group: C2/m.

Repeat the first record exactly.
A plane-wave DFT calculation with PBE was carried out for a relaxed BaMnTc2 crystal.

a = 5.8269 Å, b = 5.8269 Å, c = 5.8269 Å
α = 150.95°, β = 127.25°, γ = 61.35°
Closest atoms and distances in Å follow each position.
Sites, in units of the cell vectors:
Ba  0.0000  0.0000  0.0000  2 Ba 2.92, 4 Mn 2.97, 4 Tc 3.24
Mn  0.5000  0.5000  0.0000  4 Tc 2.58
Tc  0.2881  0.7881  0.5000  2 Mn 2.58
Tc  0.7119  0.2119  0.5000  2 Mn 2.58

The formation enthalpy at 0 K comes out at 1.02 eV/atom. As for the space group: Immm.